The following is a DFT calculation (PBE-GGA) of crystalline CdHgSb at its relaxed geometry.

Properties
offset from the most stable computed form = 0.048 eV/atom

Lattice parameters (Å, degrees): 4.0177 4.0185 10.8863 90.61 90.36 90.13
Last column: nearest neighbours and their distance in Å.
Atoms (fractional coordinates):
Cd  0.2483  0.2510  0.4093  5 Hg 3.02-3.03
Cd  0.7517  0.7490  0.5907  5 Hg 3.02-3.03
Hg  0.2534  0.2519  0.6866  1 Sb 2.91, 5 Cd 3.02-3.03
Hg  0.7466  0.7481  0.3134  1 Sb 2.91, 5 Cd 3.02-3.03
Sb  0.2499  0.2491  0.9541  1 Hg 2.91, 4 Sb 3.00-3.02
Sb  0.7501  0.7509  0.0459  1 Hg 2.91, 4 Sb 3.00-3.02


The following is a DFT calculation (PBE-GGA) of crystalline Cd2HgSb at its relaxed geometry.

Properties
offset from the most stable computed form = 0.000 eV/atom

Lattice parameters (Å, degrees): 3.0973 5.8979 5.8976 90.00 90.18 90.00
Last column: nearest neighbours and their distance in Å.
Atoms (fractional coordinates):
Cd  0.0000  0.0000  0.0000  2 Sb 2.95, 2 Cd 3.10
Cd  0.0071  0.5000  0.5003  2 Sb 2.95, 2 Cd 3.10
Hg  0.5032  0.0000  0.4995  2 Hg 3.10, 8 Cd 3.32-3.34
Sb  0.0026  0.5000  0.0001  4 Cd 2.95, 2 Sb 3.10